CrInO2: optimized geometry, PBE with a Hubbard U.

Output
Energy in eV/atom: -6.24
Magnetic moment in μB/f.u.: 3.00
Fermi-level density of states in states/eV/atom: 0.00

a = 12.4332 Å, b = 5.6751 Å, c = 5.6751 Å
α = 89.24°, β = 132.56°, γ = 47.44°
Last column: magnetic moment on the atom in μB.
Element x y z (fractional)
Cr 0.3389 0.9761 0.3352  3.11
Cr 0.8389 0.1648 0.5239  3.14
O 0.3336 0.0869 0.6692  -0.07
O 0.8336 0.8308 0.4131  -0.08
O 0.1211 0.9949 0.1167  -0.07
O 0.6211 0.3833 0.5051  -0.07
In 0.2237 0.6381 0.6240  -0.07
In 0.7237 0.8760 0.8619  -0.07